No. 1
Here is a relaxed YTiAlTl2 crystal from Alexandria. Energies are from PBE-GGA.

a = 5.195 Å, b = 4.996 Å, c = 5.195 Å
α = 90.00°, β = 90.00°, γ = 90.00°
Site moments in Bohr magnetons follow the coordinates.
Positions (direct):
Y: 0.500 0.500 0.500  0.17
Tl: 0.000 0.000 0.500  -0.01
Tl: 0.500 0.000 0.000  0.00
Al: 0.000 0.000 0.000  0.00
Ti: 0.000 0.500 0.000  1.00

Results
ΔH_f (0 K)	0.48	eV per atom
total magnetization	1.658	μB/f.u.
space group	P4/mmm
raw total energy	-4.082	eV/atom

=====

No. 2
Here is a relaxed Y2TiAlTl crystal from Alexandria. Energies are from PBE-GGA.

a = 5.485 Å, b = 5.036 Å, c = 5.485 Å
α = 90.00°, β = 90.00°, γ = 90.00°
Site moments in Bohr magnetons follow the coordinates.
Positions (direct):
Y: 0.000 0.000 0.500  0.18
Y: 0.500 0.000 0.000  0.14
Tl: 0.000 0.500 0.000  -0.03
Al: 0.000 0.000 0.000  0.01
Ti: 0.500 0.500 0.500  1.77

Results
ΔH_f (0 K)	0.64	eV per atom
total magnetization	3.055	μB/f.u.
space group	P4/mmm
raw total energy	-4.749	eV/atom

=====

No. 3
Here is a relaxed Tm2TiAl crystal from Alexandria. Energies are from PBE-GGA.

a = 3.360 Å, b = 3.360 Å, c = 8.162 Å
α = 90.00°, β = 90.00°, γ = 90.00°
Positions (direct):
Tm: 0.000 0.000 0.756
Tm: 0.000 0.000 0.244
Al: 0.500 0.500 0.000
Ti: 0.500 0.500 0.500

Results
ΔH_f (0 K)	-0.09	eV per atom
total magnetization	0.000	μB/f.u.
space group	P4/mmm
raw total energy	-5.238	eV/atom
offset from the most stable computed form	0.000	eV per atom

=====

No. 4
Here is a relaxed Tm2TiAl3 crystal from Alexandria. Energies are from PBE-GGA.

a = 5.621 Å, b = 5.621 Å, c = 5.530 Å
α = 89.98°, β = 120.57°, γ = 119.99°
Positions (direct):
Tm: 0.744 0.372 0.116
Tm: 0.256 0.628 0.884
Ti: 0.000 0.000 0.000
Al: 0.500 0.500 0.500
Al: 0.000 0.000 0.500
Al: 0.500 0.000 0.500

Results
ΔH_f (0 K)	-0.44	eV per atom
total magnetization	0.000	μB/f.u.
space group	R-3m
raw total energy	-5.122	eV/atom

=====

No. 5
Here is a relaxed TmTiAl4 crystal from Alexandria. Energies are from PBE-GGA.

a = 5.336 Å, b = 5.336 Å, c = 5.336 Å
α = 60.00°, β = 60.00°, γ = 60.00°
Positions (direct):
Tm: 0.250 0.250 0.250
Al: 0.625 0.625 0.124
Al: 0.625 0.124 0.625
Al: 0.625 0.625 0.625
Al: 0.124 0.625 0.625
Ti: 0.000 0.000 0.000

Results
ΔH_f (0 K)	-0.39	eV per atom
total magnetization	0.001	μB/f.u.
space group	F-43m
raw total energy	-4.945	eV/atom

=====

No. 6
Here is a relaxed TmTiAl2 crystal from Alexandria. Energies are from PBE-GGA.

a = 3.430 Å, b = 3.430 Å, c = 6.526 Å
α = 90.00°, β = 90.00°, γ = 90.00°
Site moments in Bohr magnetons follow the coordinates.
Positions (direct):
Tm: 0.500 0.500 0.500  -0.03
Al: 0.000 0.000 0.791  0.00
Al: 0.000 0.000 0.209  0.00
Ti: 0.500 0.500 0.000  0.37

Results
ΔH_f (0 K)	-0.32	eV per atom
total magnetization	0.445	μB/f.u.
space group	P4/mmm
raw total energy	-5.280	eV/atom
offset from the most stable computed form	0.000	eV per atom

=====

No. 7
Here is a relaxed TmTiAl2 crystal from Alexandria. Energies are from PBE-GGA.

a = 4.238 Å, b = 4.282 Å, c = 4.282 Å
α = 90.00°, β = 90.00°, γ = 90.00°
Site moments in Bohr magnetons follow the coordinates.
Positions (direct):
Tm: 0.500 0.500 0.500  0.30
Al: 0.000 0.000 0.500  -0.01
Al: 0.000 0.500 0.000  -0.01
Ti: 0.500 0.000 0.000  0.88

Results
ΔH_f (0 K)	-0.27	eV per atom
total magnetization	1.331	μB/f.u.
space group	P4/mmm
raw total energy	-5.230	eV/atom
offset from the most stable computed form	0.050	eV per atom

=====

No. 8
Here is a relaxed TmTiAl2 crystal from Alexandria. Energies are from PBE-GGA.

a = 4.766 Å, b = 4.766 Å, c = 4.766 Å
α = 60.00°, β = 60.00°, γ = 60.00°
Site moments in Bohr magnetons follow the coordinates.
Positions (direct):
Tm: 0.000 0.000 0.000  0.05
Al: 0.250 0.250 0.250  -0.01
Al: 0.750 0.750 0.750  -0.01
Ti: 0.500 0.500 0.500  0.59

Results
ΔH_f (0 K)	-0.24	eV per atom
total magnetization	0.769	μB/f.u.
space group	Fm-3m
raw total energy	-5.201	eV/atom
offset from the most stable computed form	0.079	eV per atom

=====

No. 9
Here is a relaxed Tm2TiAl crystal from Alexandria. Energies are from PBE-GGA.

a = 5.080 Å, b = 5.080 Å, c = 5.080 Å
α = 60.00°, β = 60.00°, γ = 60.00°
Site moments in Bohr magnetons follow the coordinates.
Positions (direct):
Tm: 0.250 0.250 0.250  0.35
Tm: 0.750 0.750 0.750  0.35
Al: 0.000 0.000 0.000  -0.02
Ti: 0.500 0.500 0.500  1.56

Results
ΔH_f (0 K)	-0.06	eV per atom
total magnetization	2.624	μB/f.u.
space group	Fm-3m
raw total energy	-5.208	eV/atom
offset from the most stable computed form	0.030	eV per atom

=====

No. 10
Here is a relaxed Tm2TiAl crystal from Alexandria. Energies are from PBE-GGA.

a = 4.380 Å, b = 4.552 Å, c = 4.552 Å
α = 90.00°, β = 90.00°, γ = 90.00°
Site moments in Bohr magnetons follow the coordinates.
Positions (direct):
Tm: 0.000 0.000 0.500  0.13
Tm: 0.000 0.500 0.000  0.13
Al: 0.500 0.000 0.000  -0.02
Ti: 0.500 0.500 0.500  0.82

Results
ΔH_f (0 K)	-0.09	eV per atom
total magnetization	1.201	μB/f.u.
space group	P4/mmm
raw total energy	-5.237	eV/atom
offset from the most stable computed form	0.001	eV per atom

=====

No. 11
Here is a relaxed TmTiAl3 crystal from Alexandria. Energies are from PBE-GGA.

a = 5.633 Å, b = 6.457 Å, c = 6.457 Å
α = 119.95°, β = 90.00°, γ = 90.00°
Positions (direct):
Tm: 0.250 0.333 0.667
Tm: 0.750 0.667 0.333
Ti: 0.000 0.000 0.000
Ti: 0.500 0.000 0.000
Al: 0.250 0.802 0.198
Al: 0.750 0.198 0.802
Al: 0.250 0.802 0.604
Al: 0.750 0.198 0.396
Al: 0.250 0.396 0.198
Al: 0.750 0.604 0.802

Results
ΔH_f (0 K)	-0.16	eV per atom
total magnetization	0.001	μB/f.u.
space group	P6_3/mmc
raw total energy	-4.875	eV/atom

=====

No. 12
Here is a relaxed Tm3Ti5Al12 crystal from Alexandria. Energies are from PBE-GGA.

a = 13.957 Å, b = 13.957 Å, c = 13.957 Å
α = 109.47°, β = 109.47°, γ = 109.47°
Site moments in Bohr magnetons follow the coordinates.
Positions (direct):
Tm: 0.750 0.375 0.125  0.05
Tm: 0.875 0.750 0.125  0.05
Tm: 0.375 0.750 0.625  0.05
Tm: 0.250 0.125 0.375  0.05
Tm: 0.875 0.125 0.250  0.05
Tm: 0.375 0.625 0.250  0.05
Tm: 0.625 0.375 0.750  0.05
Tm: 0.125 0.875 0.750  0.05
Tm: 0.750 0.875 0.625  0.05
Tm: 0.625 0.250 0.375  0.05
Tm: 0.125 0.250 0.875  0.05
Tm: 0.250 0.625 0.875  0.05
Ti: 0.125 0.375 0.250  1.51
Ti: 0.000 0.500 0.000  -0.38
Ti: 0.000 0.000 0.000  -0.38
Ti: 0.375 0.250 0.125  1.51
Ti: 0.500 0.000 0.500  -0.38
Ti: 0.500 0.500 0.000  -0.38
Ti: 0.125 0.750 0.375  1.51
Ti: 0.750 0.125 0.875  1.51
Ti: 0.750 0.625 0.375  1.51
Ti: 0.375 0.125 0.750  1.51
Ti: 0.625 0.875 0.250  1.51
Ti: 0.500 0.500 0.500  -0.38
Ti: 0.500 0.000 0.000  -0.38
Ti: 0.000 0.000 0.500  -0.38
Ti: 0.250 0.375 0.625  1.51
Ti: 0.250 0.875 0.125  1.51
Ti: 0.000 0.500 0.500  -0.38
Ti: 0.875 0.250 0.625  1.51
Ti: 0.625 0.750 0.875  1.51
Ti: 0.875 0.625 0.750  1.51
Al: 0.719 0.145 0.069  0.01
Al: 0.351 0.569 0.424  0.01
Al: 0.931 0.355 0.281  0.01
Al: 0.569 0.219 0.145  0.01
Al: 0.573 0.719 0.649  0.01
Al: 0.931 0.576 0.149  0.01
Al: 0.351 0.781 0.427  0.01
Al: 0.076 0.927 0.145  0.01
Al: 0.576 0.931 0.649  0.01
Al: 0.719 0.573 0.149  0.01
Al: 0.781 0.431 0.355  0.01
Al: 0.851 0.924 0.069  0.01
Al: 0.145 0.719 0.569  0.01
Al: 0.355 0.424 0.073  0.01
Al: 0.073 0.924 0.355  0.01
Al: 0.427 0.145 0.576  0.01
Al: 0.073 0.149 0.219  0.01
Al: 0.431 0.649 0.076  0.01
Al: 0.851 0.927 0.281  0.01
Al: 0.145 0.427 0.076  0.01
Al: 0.355 0.931 0.781  0.01
Al: 0.576 0.645 0.427  0.01
Al: 0.924 0.851 0.569  0.01
Al: 0.781 0.351 0.927  0.01
Al: 0.424 0.355 0.573  0.01
Al: 0.076 0.149 0.431  0.01
Al: 0.219 0.649 0.073  0.01
Al: 0.149 0.073 0.719  0.01
Al: 0.645 0.069 0.219  0.01
Al: 0.855 0.573 0.924  0.01
Al: 0.569 0.351 0.924  0.01
Al: 0.573 0.855 0.424  0.01
Al: 0.927 0.851 0.781  0.01
Al: 0.927 0.076 0.645  0.01
Al: 0.855 0.281 0.431  0.01
Al: 0.149 0.076 0.931  0.01
Al: 0.645 0.576 0.927  0.01
Al: 0.424 0.069 0.351  0.01
Al: 0.281 0.427 0.851  0.01
Al: 0.219 0.569 0.645  0.01
Al: 0.924 0.073 0.855  0.01
Al: 0.649 0.219 0.573  0.01
Al: 0.431 0.781 0.855  0.01
Al: 0.069 0.424 0.851  0.01
Al: 0.427 0.281 0.351  0.01
Al: 0.069 0.645 0.719  0.01
Al: 0.649 0.431 0.576  0.01
Al: 0.281 0.855 0.931  0.01

Results
ΔH_f (0 K)	0.68	eV per atom
total magnetization	5.712	μB/f.u.
space group	Ia-3d
raw total energy	-4.210	eV/atom

=====

No. 13
Here is a relaxed TmTiAl2 crystal from Alexandria. Energies are from PBE-GGA.

a = 3.166 Å, b = 3.166 Å, c = 9.492 Å
α = 80.40°, β = 80.40°, γ = 60.00°
Site moments in Bohr magnetons follow the coordinates.
Positions (direct):
Tm: 0.500 0.500 0.500  -0.03
Al: 0.743 0.743 0.771  0.00
Al: 0.257 0.257 0.229  0.00
Ti: 0.000 0.000 0.000  0.32

Results
ΔH_f (0 K)	-0.07	eV per atom
total magnetization	0.409	μB/f.u.
space group	R-3m
raw total energy	-5.031	eV/atom
offset from the most stable computed form	0.249	eV per atom

=====

No. 14
Here is a relaxed YTmTiAl crystal from Alexandria. Energies are from PBE-GGA.

a = 5.119 Å, b = 5.119 Å, c = 5.119 Å
α = 60.00°, β = 60.00°, γ = 60.00°
Site moments in Bohr magnetons follow the coordinates.
Positions (direct):
Y: 0.500 0.500 0.500  0.21
Tm: 0.000 0.000 0.000  0.33
Al: 0.750 0.750 0.750  -0.02
Ti: 0.250 0.250 0.250  1.56

Results
ΔH_f (0 K)	-0.06	eV per atom
total magnetization	2.608	μB/f.u.
space group	F-43m
raw total energy	-5.706	eV/atom

=====

No. 15
Here is a relaxed TmTiAlZn crystal from Alexandria. Energies are from PBE-GGA.

a = 4.741 Å, b = 4.741 Å, c = 4.741 Å
α = 60.00°, β = 60.00°, γ = 60.00°
Positions (direct):
Zn: 0.500 0.500 0.500
Tm: 0.750 0.750 0.750
Al: 0.000 0.000 0.000
Ti: 0.250 0.250 0.250

Results
ΔH_f (0 K)	-0.23	eV per atom
total magnetization	0.001	μB/f.u.
space group	F-43m
raw total energy	-4.575	eV/atom

=====

No. 16
Here is a relaxed UTiAl4 crystal from Alexandria. Energies are from PBE-GGA.

a = 5.360 Å, b = 5.360 Å, c = 5.360 Å
α = 60.00°, β = 60.00°, γ = 60.00°
Site moments in Bohr magnetons follow the coordinates.
Positions (direct):
U: 0.250 0.250 0.250  2.37
Al: 0.625 0.625 0.125  -0.01
Al: 0.625 0.125 0.625  -0.01
Al: 0.625 0.625 0.625  -0.01
Al: 0.125 0.625 0.625  -0.01
Ti: 0.000 0.000 0.000  0.54

Results
ΔH_f (0 K)	-0.11	eV per atom
total magnetization	3.380	μB/f.u.
space group	F-43m
raw total energy	-5.803	eV/atom

=====

No. 17
Here is a relaxed UTiAl crystal from Alexandria. Energies are from PBE-GGA.

a = 2.785 Å, b = 7.722 Å, c = 8.909 Å
α = 38.06°, β = 90.00°, γ = 100.39°
Site moments in Bohr magnetons follow the coordinates.
Positions (direct):
Ti: 0.122 0.245 0.940  -0.11
Ti: 0.878 0.755 0.060  -0.11
U: 0.864 0.728 0.421  1.25
U: 0.136 0.272 0.579  1.25
Al: 0.140 0.281 0.234  0.00
Al: 0.860 0.719 0.766  0.00

Results
ΔH_f (0 K)	0.24	eV per atom
total magnetization	1.141	μB/f.u.
space group	C2/m
raw total energy	-7.404	eV/atom

=====

No. 18
Here is a relaxed UTiAlW crystal from Alexandria. Energies are from PBE-GGA.

a = 4.610 Å, b = 4.610 Å, c = 4.610 Å
α = 60.00°, β = 60.00°, γ = 60.00°
Positions (direct):
U: 0.000 0.000 0.000
Al: 0.500 0.500 0.500
W: 0.750 0.750 0.750
Ti: 0.250 0.250 0.250

Results
ΔH_f (0 K)	0.07	eV per atom
total magnetization	0.001	μB/f.u.
space group	F-43m
raw total energy	-8.895	eV/atom

=====

No. 19
Here is a relaxed Ti2AlV2 crystal from Alexandria. Energies are from PBE-GGA.

a = 6.761 Å, b = 6.761 Å, c = 3.432 Å
α = 90.00°, β = 90.00°, γ = 90.00°
Positions (direct):
Ti: 0.171 0.671 0.500
Ti: 0.671 0.829 0.500
Ti: 0.829 0.329 0.500
Ti: 0.329 0.171 0.500
Al: 0.000 0.000 0.000
Al: 0.500 0.500 0.000
V: 0.373 0.873 0.000
V: 0.873 0.627 0.000
V: 0.627 0.127 0.000
V: 0.127 0.373 0.000

Results
ΔH_f (0 K)	-0.03	eV per atom
total magnetization	0.000	μB/f.u.
space group	P4/mbm
raw total energy	-7.579	eV/atom
offset from the most stable computed form	0.100	eV per atom

=====

No. 20
Here is a relaxed Ti3AlV crystal from Alexandria. Energies are from PBE-GGA.

a = 4.538 Å, b = 4.538 Å, c = 4.538 Å
α = 90.00°, β = 90.00°, γ = 90.00°
Positions (direct):
Ti: 0.000 0.500 0.000
Ti: 0.000 0.000 0.500
Ti: 0.500 0.000 0.000
Al: 0.500 0.500 0.500
V: 0.000 0.000 0.000

Results
ΔH_f (0 K)	0.60	eV per atom
total magnetization	0.002	μB/f.u.
space group	Pm-3m
raw total energy	-6.710	eV/atom
offset from the most stable computed form	0.166	eV per atom

=====

No. 21
Here is a relaxed TiAl4V crystal from Alexandria. Energies are from PBE-GGA.

a = 6.420 Å, b = 6.423 Å, c = 7.232 Å
α = 116.36°, β = 116.35°, γ = 90.00°
Site moments in Bohr magnetons follow the coordinates.
Positions (direct):
Ti: 0.750 0.750 0.000  0.14
Ti: 0.250 0.250 0.000  0.14
Al: 0.130 0.129 0.259  -0.01
Al: 0.129 0.629 0.259  -0.01
Al: 0.630 0.130 0.258  -0.01
Al: 0.629 0.630 0.258  -0.01
Al: 0.370 0.870 0.742  -0.01
Al: 0.371 0.370 0.742  -0.01
Al: 0.870 0.871 0.741  -0.01
Al: 0.871 0.371 0.741  -0.01
V: 0.500 0.500 0.500  1.35
V: 0.000 0.000 0.500  1.35

Results
ΔH_f (0 K)	-0.04	eV per atom
total magnetization	1.828	μB/f.u.
space group	I4/mcm
raw total energy	-5.366	eV/atom
offset from the most stable computed form	0.126	eV per atom

=====

No. 22
Here is a relaxed Ti5Al4V2 crystal from Alexandria. Energies are from PBE-GGA.

a = 2.674 Å, b = 7.164 Å, c = 9.126 Å
α = 94.23°, β = 90.00°, γ = 90.00°
Site moments in Bohr magnetons follow the coordinates.
Positions (direct):
Ti: 0.000 0.567 0.304  0.05
Ti: 0.000 0.183 0.162  0.05
Ti: 0.000 0.500 0.000  0.44
Ti: 0.000 0.817 0.838  0.05
Ti: 0.000 0.433 0.696  0.05
Al: 0.500 0.730 0.564  0.00
Al: 0.500 0.177 0.882  0.00
Al: 0.500 0.270 0.436  0.00
Al: 0.500 0.823 0.118  0.00
V: 0.000 0.065 0.630  0.04
V: 0.000 0.935 0.370  0.04

Results
ΔH_f (0 K)	-0.20	eV per atom
total magnetization	0.854	μB/f.u.
space group	P2/m
raw total energy	-6.812	eV/atom

=====

No. 23
Here is a relaxed TiAl3V12 crystal from Alexandria. Energies are from PBE-GGA.

a = 4.777 Å, b = 4.876 Å, c = 9.615 Å
α = 90.00°, β = 90.00°, γ = 90.00°
Positions (direct):
Ti: 0.000 0.000 0.500
Al: 0.500 0.500 0.249
Al: 0.500 0.500 0.751
Al: 0.000 0.000 0.000
V: 0.500 0.000 0.370
V: 0.500 0.000 0.876
V: 0.759 0.500 0.000
V: 0.752 0.500 0.500
V: 0.000 0.753 0.248
V: 0.000 0.753 0.752
V: 0.500 0.000 0.124
V: 0.500 0.000 0.630
V: 0.241 0.500 0.000
V: 0.248 0.500 0.500
V: 0.000 0.247 0.248
V: 0.000 0.247 0.752

Results
ΔH_f (0 K)	-0.09	eV per atom
total magnetization	0.000	μB/f.u.
space group	Pmmm
raw total energy	-8.126	eV/atom